# 1
Crystalline LaSCl3 at its relaxed geometry, computed with GGA-PBE.

Computed properties:
Symmetry   P-1
Formation energy from raw total energies   -1767 meV/atom

The structure in extended XYZ format:
```
10
Lattice="6.6899 -0.0399 3.7200 4.1834 6.4031 0.0989 0.0839 0.0833 8.4430" Properties=species:S:1:pos:R:3 pbc="T T T"
S 7.3804 4.3676 9.7623
Cl 5.9452 0.0269 7.4595
Cl 3.3344 4.3914 8.6118
Cl 4.6474 3.3765 5.5815
S 7.2958 3.3578 8.1488
La 4.2315 6.0119 6.5089
Cl 2.6656 0.1598 5.6083
Cl 4.5413 1.2975 10.3543
Cl 1.1315 1.2044 8.4859
La 3.7486 1.7558 7.6838
```

=====

# 2
Crystalline La8S6Cl at its relaxed geometry, computed with GGA-PBE.

Computed properties:
Symmetry   P-3
DOS at the Fermi energy   10.9 states/eV per cell
Formation energy from raw total energies   -1691 meV/atom

The structure in extended XYZ format:
```
15
Lattice="4.2911 0.0000 0.0000 0.0000 9.4563 -5.4596 0.0000 0.0000 10.9192" Properties=species:S:1:pos:R:3 pbc="T T T"
La 3.2051 3.1521 5.4596
S 3.2362 4.5433 1.0942
Cl 2.1455 0.0000 0.0000
La 3.1914 6.4276 3.2917
S 1.0548 3.2192 7.5317
S 3.2362 6.2371 -2.0721
La 1.0997 3.0287 2.1679
S 1.0548 1.3240 4.4817
S 3.2362 8.1323 0.9779
La 1.0860 6.3042 0.0000
La 1.0997 0.3631 7.2123
La 1.0997 6.0645 6.9986
S 1.0548 4.9131 4.3654
La 3.1914 3.3919 -1.5390
La 3.1914 9.0932 -1.7527
```

=====

# 3
Crystalline LaS6Cl2 at its relaxed geometry, computed with GGA-PBE.

Computed properties:
Symmetry   P-1
DOS at the Fermi energy   1.8 states/eV per cell
Formation energy from raw total energies   -689 meV/atom

The structure in extended XYZ format:
```
9
Lattice="4.3672 0.0354 -0.1848 -0.3067 6.8586 -3.4892 -0.0342 1.0826 9.1484" Properties=species:S:1:pos:R:3 pbc="T T T"
S 3.6869 5.7476 3.5887
Cl 1.9285 5.7601 -2.1925
S 3.8470 2.5106 3.9823
S 0.3394 2.2290 1.8857
S 0.1793 5.4660 1.4922
S 0.2971 4.1792 4.7724
La 0.0000 0.0000 0.0000
Cl 2.0978 2.2165 7.6669
S 3.7291 3.7974 0.7021
```

=====

# 4
Crystalline LaSCl2 at its relaxed geometry, computed with GGA-PBE.

Computed properties:
Symmetry   Fm-3m
DOS at the Fermi energy   2.8 states/eV per cell
Formation energy from raw total energies   -1360 meV/atom

The structure in extended XYZ format:
```
4
Lattice="0.0000 3.5557 3.5557 3.5557 0.0000 3.5557 3.5557 3.5557 0.0000" Properties=species:S:1:pos:R:3 pbc="T T T"
La 3.5557 3.5557 3.5557
S 0.0000 0.0000 0.0000
Cl 1.7778 1.7778 1.7778
Cl 5.3335 5.3335 5.3335
```

=====

# 5
Crystalline LaSCl3 at its relaxed geometry, computed with GGA-PBE.

Computed properties:
Symmetry   Pm-3m
DOS at the Fermi energy   9.3 states/eV per cell
Formation energy from raw total energies   -439 meV/atom

The structure in extended XYZ format:
```
5
Lattice="5.0698 0.0000 0.0000 0.0000 5.0698 0.0000 0.0000 0.0000 5.0698" Properties=species:S:1:pos:R:3 pbc="T T T"
Cl 2.5349 0.0000 0.0000
S 0.0000 0.0000 0.0000
Cl 0.0000 0.0000 2.5349
La 2.5349 2.5349 2.5349
Cl 0.0000 2.5349 0.0000
```

=====

# 6
Crystalline La3SCl at its relaxed geometry, computed with GGA-PBE.

Computed properties:
Symmetry   Pm-3m
DOS at the Fermi energy   11.2 states/eV per cell
Formation energy from raw total energies   -813 meV/atom

The structure in extended XYZ format:
```
5
Lattice="-5.1692 -0.8861 1.7457 1.1776 -5.3448 0.7740 1.5639 1.0957 5.1871" Properties=species:S:1:pos:R:3 pbc="T T T"
La 0.7819 0.5478 2.5936
La -2.5846 -0.4430 0.8728
S 0.0000 0.0000 0.0000
Cl -1.2138 -2.5676 3.8534
La 0.5888 -2.6724 0.3870
```

=====

# 7
Crystalline LaSbS2Cl at its relaxed geometry, computed with GGA-PBE.

Computed properties:
Symmetry   P4/mmm
DOS at the Fermi energy   6.6 states/eV per cell
Formation energy from raw total energies   -625 meV/atom

The structure in extended XYZ format:
```
5
Lattice="-2.4098 -3.6120 2.8895 3.8438 -3.3762 -1.0148 2.5278 1.6314 4.1474" Properties=species:S:1:pos:R:3 pbc="T T T"
S 1.9219 -1.6881 -0.5074
La 1.9809 -2.6784 3.0111
Cl 1.2639 0.8157 2.0737
S -1.2049 -1.8060 1.4448
Sb 0.0000 0.0000 0.0000
```

=====

# 8
Crystalline LaSbS2Cl at its relaxed geometry, computed with GGA-PBE.

Computed properties:
Symmetry   P4/mmm
DOS at the Fermi energy   1.9 states/eV per cell
Formation energy from raw total energies   -599 meV/atom

The structure in extended XYZ format:
```
5
Lattice="-1.2127 -5.1064 1.9199 2.0156 1.4082 5.0186 -4.8467 1.7033 1.4687" Properties=species:S:1:pos:R:3 pbc="T T T"
Cl -2.4234 0.8516 0.7343
La 0.0000 0.0000 0.0000
S 1.0078 0.7041 2.5093
S -0.6064 -2.5532 0.9600
Sb -2.0219 -0.9975 4.2036
```

=====

# 9
Crystalline LaScS2Cl at its relaxed geometry, computed with GGA-PBE.

Computed properties:
Symmetry   P4/mmm
DOS at the Fermi energy   5.0 states/eV per cell
Formation energy from raw total energies   -1701 meV/atom

The structure in extended XYZ format:
```
5
Lattice="-4.4245 1.3320 1.7963 1.1552 -2.0484 4.3643 1.8404 4.1459 1.4588" Properties=species:S:1:pos:R:3 pbc="T T T"
Sc 0.0000 0.0000 0.0000
S -2.2123 0.6660 0.8982
S 0.5776 -1.0242 2.1821
Cl 0.9202 2.0730 0.7294
La -0.7145 1.7147 3.8097
```

=====

# 10
Crystalline LaScS2Cl at its relaxed geometry, computed with GGA-PBE.

Computed properties:
Symmetry   P4/mmm
DOS at the Fermi energy   5.1 states/eV per cell
Formation energy from raw total energies   -964 meV/atom

The structure in extended XYZ format:
```
5
Lattice="-3.7045 -0.8312 4.0067 -0.8290 -5.1401 -1.8329 3.8648 -1.7668 3.2067" Properties=species:S:1:pos:R:3 pbc="T T T"
S -0.4145 -2.5701 -0.9165
Cl 1.9324 -0.8834 1.6034
Sc -0.3344 -3.8691 2.6902
La 0.0000 0.0000 0.0000
S -1.8522 -0.4156 2.0033
```

=====

# 11
Crystalline La8Se4S3Cl at its relaxed geometry, computed with GGA-PBE.

Computed properties:
Symmetry   R-3m
DOS at the Fermi energy   9.3 states/eV per cell
Formation energy from raw total energies   -2012 meV/atom

The structure in extended XYZ format:
```
16
Lattice="-8.1892 -1.3274 -1.7316 0.8529 -8.1375 2.2042 2.2482 6.1154 5.4187" Properties=species:S:1:pos:R:3 pbc="T T T"
La -4.7918 -0.0745 1.9799
Se 0.0000 0.0000 0.0000
La -1.9045 -2.4016 0.1872
Cl 0.4265 -4.0688 1.1021
La -4.3716 -3.9618 2.9723
La 0.7961 -0.3028 6.5456
La -5.8841 -3.0467 -0.6543
La -0.7165 0.6123 2.9189
S -2.5440 -1.6747 2.9456
S -3.6681 -4.7324 0.2363
S 1.5506 -1.0111 3.8114
Se -2.9705 2.3940 1.8435
Se 1.1241 3.0577 2.7093
La -0.2962 -3.2750 3.9114
Se -4.0946 -0.6637 -0.8658
La -3.1836 -0.9478 5.7041
```

=====

# 12
Crystalline La4SeS2Cl at its relaxed geometry, computed with GGA-PBE.

Computed properties:
Symmetry   I4/mmm
DOS at the Fermi energy   6.5 states/eV per cell
Formation energy from raw total energies   -1956 meV/atom

The structure in extended XYZ format:
```
8
Lattice="-1.2640 0.9103 -5.7301 0.0497 -5.8629 -0.9407 -5.1794 2.2288 4.5726" Properties=species:S:1:pos:R:3 pbc="T T T"
Se -1.1380 -4.6411 -6.2512
La -1.1630 -1.7094 -5.7819
S -3.4491 0.6424 -1.8275
La -0.5059 -5.0973 -3.3862
La -2.8140 0.1876 1.0372
Cl -0.5309 -2.1651 -2.9162
La -3.4272 -2.2889 -2.2969
S -2.7922 -2.7441 0.5672
```

=====

So what do the calculations give for E? Going down the list: -46.9; -91.4; -39.6; -18.2; -16.8; -24.8; -22.3; -22.1; -29.9; -26.2; -99.8; -48.9 eV/cell.